VASP calculation (PBE) on a relaxed structure of CaIN3.

Geometry as POSCAR:
```
CaIN3
1.0
4.0218 0.0000 0.0000
0.0000 4.0218 0.0000
0.0000 0.0000 4.0218
Ca I N
1 1 3
Cartesian
0.0000 0.0000 0.0000
2.0109 2.0109 2.0109
0.0000 2.0109 2.0109
2.0109 0.0000 2.0109
2.0109 2.0109 0.0000
```

Properties
The formation energy (no corrections) comes out at 110.1 kJ/mol of atoms. The value obtained for the magnetic moment is 0.00 μB/atom. Its volume is 13.01 Å³/atom.